# 1
BeGe2Rh | GGA-PBE | relaxed

Geometry as CIF:
```
data_BeGe2Rh
_cell_length_a 6.915
_cell_length_b 6.915
_cell_length_c 5.077
_cell_angle_alpha 90.00
_cell_angle_beta 90.00
_cell_angle_gamma 90.00
_space_group_name_H-M_alt 'I -4 2 d'
_space_group_IT_number 122
_space_group_name_Hall 'I -4 2bw'
loop_
_atom_site_label
_atom_site_fract_x
_atom_site_fract_y
_atom_site_fract_z
Be1 0.000 0.000 0.000
Ge1 0.238 0.750 0.125
Rh1 0.000 0.000 0.500
```

Computed properties:
Formation enthalpy at 0 K: 252 meV per atom
Raw total energy: -4.826 eV per atom
Density of states at the Fermi level: 0.55 states/eV per atom



# 2
BeGeRh3 | GGA-PBE | relaxed

Geometry as CIF:
```
data_BeGeRh3
_cell_length_a 4.487
_cell_length_b 4.487
_cell_length_c 4.487
_cell_angle_alpha 90.00
_cell_angle_beta 90.00
_cell_angle_gamma 90.00
_space_group_name_H-M_alt 'P m -3 m'
_space_group_IT_number 221
_space_group_name_Hall '-P 4 2 3'
loop_
_atom_site_label
_atom_site_fract_x
_atom_site_fract_y
_atom_site_fract_z
Be1 0.000 0.000 0.000
Ge1 0.500 0.500 0.500
Rh1 0.000 0.500 0.500
```

Computed properties:
Formation enthalpy at 0 K: 752 meV per atom
Raw total energy: -5.327 eV per atom
Density of states at the Fermi level: 1.33 states/eV per atom